[1]
Material: La3Pm3HoTe8
Method: DFT, PBE-GGA
State: relaxed Values from VASP.

raw formation energy	-1507	meV per atom

Geometry as Quantum ESPRESSO input:
```
&SYSTEM
  ibrav = 0, nat = 15, ntyp = 4
/
ATOMIC_SPECIES
La 138.91 La.upf
Pm 145.00 Pm.upf
Ho 164.93 Ho.upf
Te 127.60 Te.upf
CELL_PARAMETERS angstrom
-3.9864 -2.5010 -7.6386
8.5486 -2.2452 1.5428
-6.6027 -3.9518 4.7395
ATOMIC_POSITIONS crystal
La 0.0000 0.0000 0.0000
La 0.0000 0.5000 0.0000
La 0.5000 0.5000 0.0000
Pm 0.5000 0.0000 0.5000
Pm 0.5000 0.5000 0.5000
Pm 0.0000 0.5000 0.5000
Ho 0.0000 0.0000 0.5000
Te 0.2523 0.5046 0.2569
Te 0.7477 0.4954 0.7431
Te 0.7531 0.5061 0.2578
Te 0.2469 0.4939 0.7422
Te 0.7531 0.0047 0.2578
Te 0.2469 0.9953 0.7422
Te 0.2516 0.0047 0.2578
Te 0.7484 0.9953 0.7422
```

***

[2]
Material: La2PmHo5Th
Method: DFT, PBE-GGA
State: relaxed Values from VASP.

Geometry as Quantum ESPRESSO input:
```
&SYSTEM
  ibrav = 0, nat = 18, ntyp = 4
/
ATOMIC_SPECIES
La 138.91 La.upf
Pm 145.00 Pm.upf
Ho 164.93 Ho.upf
Th 232.04 Th.upf
CELL_PARAMETERS angstrom
5.6650 0.0000 0.0000
-2.8325 10.0132 0.0000
0.0000 0.0000 10.6569
ATOMIC_POSITIONS crystal
La 0.8833 0.7666 0.8204
La 0.1162 0.2323 0.7297
La 0.1167 0.2334 0.3204
La 0.8838 0.7677 0.2297
Pm 0.5862 0.1724 0.9554
Pm 0.4138 0.8276 0.4554
Ho 0.3911 0.7822 0.0239
Ho 0.7203 0.4405 0.8106
Ho 0.4788 0.9576 0.7384
Ho 0.2986 0.5972 0.7088
Ho 0.9831 0.9662 0.5263
Ho 0.6089 0.2178 0.5239
Ho 0.2797 0.5595 0.3106
Ho 0.5212 0.0424 0.2384
Ho 0.7014 0.4028 0.2088
Ho 0.0169 0.0338 0.0263
Th 0.7970 0.5939 0.5106
Th 0.2030 0.4061 0.0106
```

***

Number 1: ρ 6554 kg/m³, final energy -81.35 eV per cell. Number 2: ρ 8128 kg/m³, final energy -87.00 eV per cell.